(1)
# SrLaBe2

A relaxed SrLaBe2 crystal (PBE, Alexandria).

a = 4.017 Å, b = 4.017 Å, c = 24.978 Å
α = 90.00°, β = 90.00°, γ = 120.00°
Fractional coordinates of all 12 atoms:
Sr: 0.000 0.000 0.000
Sr: 0.333 0.667 0.667
Sr: 0.667 0.333 0.333
La: 0.000 0.000 0.500
La: 0.333 0.667 0.167
La: 0.667 0.333 0.833
Be: 0.000 0.000 0.244
Be: 0.000 0.000 0.756
Be: 0.333 0.667 0.422
Be: 0.333 0.667 0.911
Be: 0.667 0.333 0.089
Be: 0.667 0.333 0.578

## Properties
The calculation puts the formation energy at 2.75 eV/f.u. Its total magnetic moment is 0.00 μB per formula unit. The symmetry is No. 166. The value obtained for the total energy is -11.31 eV/f.u.


(2)
# SrLaBe

A relaxed SrLaBe crystal (PBE, Alexandria).

a = 7.326 Å, b = 7.326 Å, c = 7.326 Å
α = 90.00°, β = 90.00°, γ = 90.00°
Fractional coordinates of all 12 atoms:
Sr: 0.000 0.000 0.000
Sr: 0.000 0.500 0.500
Sr: 0.500 0.000 0.500
Sr: 0.500 0.500 0.000
La: 0.000 0.000 0.500
La: 0.000 0.500 0.000
La: 0.500 0.000 0.000
La: 0.500 0.500 0.500
Be: 0.250 0.250 0.750
Be: 0.250 0.750 0.250
Be: 0.750 0.250 0.250
Be: 0.750 0.750 0.750

## Properties
The calculation puts the formation energy at 1.30 eV/f.u. Its total magnetic moment is 0.00 μB per formula unit. The symmetry is No. 216. The value obtained for the total energy is -9.04 eV/f.u.